No. 1
# HoCoB | the Alexandria database | PBE-GGA | relaxed
data_HoCoB
_symmetry_space_group_name_H-M 'P 1'
_symmetry_Int_Tables_number 1
_cell_length_a 3.859
_cell_length_b 3.395
_cell_length_c 6.521
_cell_angle_alpha 90.00
_cell_angle_beta 90.00
_cell_angle_gamma 90.00
loop_
_symmetry_equiv_pos_as_xyz
'x,y,z'
loop_
_atom_site_label
_atom_site_type_symbol
_atom_site_fract_x
_atom_site_fract_y
_atom_site_fract_z
B1 B 0.812 0.716 0.464
B2 B 0.812 0.216 0.329
Ho1 Ho 0.312 0.716 0.159
Co1 Co 0.812 0.216 0.007
Co2 Co 0.812 0.716 0.786
Ho2 Ho 0.312 0.216 0.634
# **Excess energy over the best structure of this formula in the dataset**: 211.5 meV/atom
# **Total moment**: 0.000 μB/atom
# **Calculated volume**: 42.7 Å³/f.u.
# **DFT formation energy**: -0.282 eV per atom
# **Space group**: Pmma

No. 2
# HoCo8B4 | the Alexandria database | PBE-GGA | relaxed
data_HoCo8B4
_symmetry_space_group_name_H-M 'P 1'
_symmetry_Int_Tables_number 1
_cell_length_a 4.377
_cell_length_b 5.787
_cell_length_c 5.787
_cell_angle_alpha 81.78
_cell_angle_beta 67.78
_cell_angle_gamma 67.78
loop_
_symmetry_equiv_pos_as_xyz
'x,y,z'
loop_
_atom_site_label
_atom_site_type_symbol
_atom_site_fract_x
_atom_site_fract_y
_atom_site_fract_z
B1 B 0.500 0.000 0.500
Co1 Co 0.500 0.772 0.228
Co2 Co 0.728 0.772 0.772
Co3 Co 0.654 0.346 0.346
B2 B 0.000 0.500 0.000
B3 B 0.500 0.500 0.000
Co4 Co 0.000 0.346 0.654
Co5 Co 0.000 0.654 0.346
Co6 Co 0.500 0.228 0.772
Ho1 Ho 0.000 0.000 0.000
B4 B 0.000 0.000 0.500
Co7 Co 0.346 0.654 0.654
Co8 Co 0.272 0.228 0.228
# **Total moment**: 0.000 μB/atom
# **Calculated volume**: 125.6 Å³/f.u.
# **DFT formation energy**: -0.097 eV per atom
# **Space group**: I4/mmm

No. 3
# Ho2Co7B3 | the Alexandria database | PBE-GGA | relaxed
data_Ho2Co7B3
_symmetry_space_group_name_H-M 'P 1'
_symmetry_Int_Tables_number 1
_cell_length_a 5.003
_cell_length_b 5.003
_cell_length_c 12.774
_cell_angle_alpha 90.00
_cell_angle_beta 90.00
_cell_angle_gamma 120.00
loop_
_symmetry_equiv_pos_as_xyz
'x,y,z'
loop_
_atom_site_label
_atom_site_type_symbol
_atom_site_fract_x
_atom_site_fract_y
_atom_site_fract_z
Ho1 Ho 0.000 0.000 0.261
Co1 Co 0.500 0.500 0.154
Co2 Co 0.500 0.000 0.616
B1 B 0.667 0.333 0.732
Co3 Co 0.000 0.500 0.616
Co4 Co 0.500 0.500 0.846
Co5 Co 0.500 0.500 0.616
Ho2 Ho 0.000 0.000 0.500
Co6 Co 0.000 0.500 0.384
Co7 Co 0.500 0.000 0.384
B2 B 0.333 0.667 0.732
Co8 Co 0.000 0.500 0.846
Co9 Co 0.500 0.500 0.384
Co10 Co 0.500 0.000 0.846
Ho3 Ho 0.000 0.000 0.000
B3 B 0.667 0.333 0.500
Co11 Co 0.500 0.000 0.154
B4 B 0.333 0.667 0.500
Co12 Co 0.000 0.500 0.154
B5 B 0.667 0.333 0.268
Co13 Co 0.667 0.333 0.000
Ho4 Ho 0.000 0.000 0.739
B6 B 0.333 0.667 0.268
Co14 Co 0.333 0.667 0.000
# **Total moment**: 0.318 μB/atom
# **Calculated volume**: 138.4 Å³/f.u.
# **DFT formation energy**: -0.412 eV per atom
# **Space group**: P6/mmm